Zn2FeSbO6 | GGA+U | relaxed

Structure (POSCAR):
```
Zn2FeSbO6
1.0
5.2457 0.0001 0.0002
2.6229 4.5429 0.0001
2.6228 1.5145 4.6418
Zn O Sb Fe
2 6 1 1
Cartesian
5.2457 3.0287 1.8250
2.6229 1.5146 4.2015
4.3376 1.3267 1.2357
6.1234 4.3463 3.5750
7.1737 3.0934 1.2357
5.9477 1.6099 3.5751
4.2257 4.6661 1.2356
3.6658 3.1302 3.5748
2.6229 1.5143 0.2224
7.8685 4.5431 2.5999
```

Computed properties:
space-group type = No. 146
total DFT energy (no corrections) = -56.31 eV/cell
ρ = 6.07 Mg/m³
offset from the most stable computed form = 0.0 meV per atom
density of states at the Fermi level = 0.0 states/eV per cell